(1)
Below is ScMnTc2 after structural relaxation, with properties calculated at the GGA-PBEsol level.

Geometry as POSCAR:
```
ScMnTc2
1.0
-2.638 -0.376 -2.511
-1.202 -3.005 1.713
-2.690 2.476 2.456
Mn Tc Sc
1 2 1
Direct
0.500 0.500 0.500
0.500 0.000 0.000
0.000 0.500 0.000
0.000 0.000 0.500
```

- Space group: P4/mmm, No. 123
- Magnetic moment: 2.60 μB per cell



(2)
Below is ScMnTc2 after structural relaxation, with properties calculated at the GGA-PBEsol level.

Geometry as POSCAR:
```
ScMnTc2
1.0
3.008 0.000 0.000
0.000 3.008 0.000
0.000 0.000 6.315
Tc Sc Mn
2 1 1
Direct
0.000 0.000 0.020
0.500 0.500 0.261
0.500 0.500 0.741
0.000 0.000 0.478
```

- Space group: P4mm, No. 99
- Magnetic moment: 0.00 μB per cell



(3)
Below is ScMnTc2 after structural relaxation, with properties calculated at the GGA-PBEsol level.

Geometry as POSCAR:
```
ScMnTc2
1.0
2.791 0.000 0.000
1.396 2.417 0.000
1.396 0.806 8.629
Sc Tc Mn
1 2 1
Direct
0.246 0.246 0.263
0.753 0.753 0.741
0.006 0.006 0.983
0.495 0.495 0.514
```

- Space group: R3m, No. 160
- Magnetic moment: 1.34 μB per cell



It is (3) that is the least stable of them.